#A
Below is crystalline HfMn3Ru at its relaxed geometry, with properties calculated at the GGA-PBE level.

Computed properties:
total magnetization: 1.0 Bohr magnetons per cell
density of states at the Fermi level: 1.96 states/eV per atom

Cell: 4.402 4.402 4.402 Å, 90.00 90.00 90.00°
Space group Pm-3m (No. 221)
One atom of each set of equivalent atoms:
Hf 0.000 0.000 0.000 (multiplicity 1)
Mn 0.000 0.000 0.500 (multiplicity 3)
Ru 0.500 0.500 0.500 (multiplicity 1)



#B
Below is crystalline HfMn3Ru at its relaxed geometry, with properties calculated at the GGA-PBE level.

Computed properties:
total magnetization: 7.2 Bohr magnetons per cell
density of states at the Fermi level: 1.10 states/eV per atom

Cell: 4.515 4.515 4.515 Å, 90.00 90.00 90.00°
Space group Pm-3m (No. 221)
One atom of each set of equivalent atoms:
Hf 0.000 0.000 0.000 (multiplicity 1)
Mn 0.000 0.500 0.500 (multiplicity 3)
Ru 0.500 0.500 0.500 (multiplicity 1)



Energies, relative to the best one, in meV/atom: #A 1111; #B 0.



#A
Below is crystalline HfMn2Ru at its relaxed geometry, with properties calculated at the GGA-PBE level.

Computed properties:
total magnetization: 14.1 Bohr magnetons per cell
density of states at the Fermi level: 2.15 states/eV per atom

Cell: 6.134 6.134 6.134 Å, 90.00 90.00 90.00°
Space group Fm-3m (No. 225)
One atom of each set of equivalent atoms:
Hf 0.000 0.000 0.000 (multiplicity 4)
Mn 0.250 0.250 0.250 (multiplicity 8)
Ru 0.000 0.000 0.500 (multiplicity 4)



#B
Below is crystalline HfMn2Ru at its relaxed geometry, with properties calculated at the GGA-PBE level.

Computed properties:
total magnetization: 22.3 Bohr magnetons per cell
density of states at the Fermi level: 1.05 states/eV per atom

Cell: 7.031 7.031 5.286 Å, 90.00 90.00 90.00°
Space group I-42d (No. 122)
One atom of each set of equivalent atoms:
Hf 0.000 0.000 0.000 (multiplicity 4)
Mn 0.216 0.250 0.625 (multiplicity 8)
Ru 0.000 0.000 0.500 (multiplicity 4)



Energies, relative to the best one, in meV/atom: #A 0; #B 276.



#A
Below is crystalline HfMnRu3 at its relaxed geometry, with properties calculated at the GGA-PBE level.

Computed properties:
total magnetization: 1.4 Bohr magnetons per cell
density of states at the Fermi level: 1.98 states/eV per atom

Cell: 4.676 4.676 4.676 Å, 90.00 90.00 90.00°
Space group Pm-3m (No. 221)
One atom of each set of equivalent atoms:
Hf 0.000 0.000 0.000 (multiplicity 1)
Mn 0.500 0.500 0.500 (multiplicity 1)
Ru 0.000 0.000 0.500 (multiplicity 3)



#B
Below is crystalline HfMnRu3 at its relaxed geometry, with properties calculated at the GGA-PBE level.

Computed properties:
total magnetization: 0.0 Bohr magnetons per cell
density of states at the Fermi level: 1.18 states/eV per atom

Cell: 4.401 4.401 4.401 Å, 90.00 90.00 90.00°
Space group Pm-3m (No. 221)
One atom of each set of equivalent atoms:
Hf 0.000 0.000 0.000 (multiplicity 1)
Mn 0.500 0.500 0.500 (multiplicity 1)
Ru 0.000 0.500 0.500 (multiplicity 3)



Energies, relative to the best one, in meV/atom: #A 1376; #B 0.



#A
Below is crystalline HfMn3S at its relaxed geometry, with properties calculated at the GGA-PBE level.

Computed properties:
total magnetization: 0.3 Bohr magnetons per cell
density of states at the Fermi level: 0.93 states/eV per atom

Cell: 4.109 4.109 4.109 Å, 90.00 90.00 90.00°
Space group Pm-3m (No. 221)
One atom of each set of equivalent atoms:
Hf 0.000 0.000 0.000 (multiplicity 1)
Mn 0.000 0.500 0.500 (multiplicity 3)
S 0.500 0.500 0.500 (multiplicity 1)



#B
Below is crystalline HfMn3S at its relaxed geometry, with properties calculated at the GGA-PBE level.

Computed properties:
total magnetization: 9.5 Bohr magnetons per cell
density of states at the Fermi level: 1.49 states/eV per atom

Cell: 4.791 4.791 4.791 Å, 90.00 90.00 90.00°
Space group Pm-3m (No. 221)
One atom of each set of equivalent atoms:
Hf 0.000 0.000 0.000 (multiplicity 1)
Mn 0.000 0.000 0.500 (multiplicity 3)
S 0.500 0.500 0.500 (multiplicity 1)



Energies, relative to the best one, in meV/atom: #A 0; #B 1509.



#A
Below is crystalline HfMnS2 at its relaxed geometry, with properties calculated at the GGA-PBE level.

Computed properties:
total magnetization: 12.0 Bohr magnetons per cell
density of states at the Fermi level: 0.04 states/eV per atom

Cell: 6.253 6.253 6.253 Å, 90.00 90.00 90.00°
Space group Fm-3m (No. 225)
One atom of each set of equivalent atoms:
Hf 0.000 0.000 0.000 (multiplicity 4)
Mn 0.000 0.000 0.500 (multiplicity 4)
S 0.250 0.250 0.250 (multiplicity 8)



#B
Below is crystalline HfMnS2 at its relaxed geometry, with properties calculated at the GGA-PBE level.

Computed properties:
total magnetization: 12.6 Bohr magnetons per cell
density of states at the Fermi level: 0.69 states/eV per atom

Cell: 3.5072 3.5072 23.3105 Å, 90.00 90.00 120.00°
Space group R-3m (No. 166, hexagonal axes)
One atom of each set of equivalent atoms:
Hf 0.0000 0.0000 0.0000 (multiplicity 3)
Mn 0.0000 0.0000 0.5000 (multiplicity 3)
S 0.0000 0.0000 0.4000 (multiplicity 6)



#C
Below is crystalline HfMnS2 at its relaxed geometry, with properties calculated at the GGA-PBE level.

Computed properties:
total magnetization: 11.2 Bohr magnetons per cell
density of states at the Fermi level: 0.89 states/eV per atom

Cell: 3.4098 3.4098 23.1721 Å, 90.00 90.00 120.00°
Space group R-3m (No. 166, hexagonal axes)
One atom of each set of equivalent atoms:
Hf 0.0000 0.0000 0.0000 (multiplicity 3)
Mn 0.0000 0.0000 0.5000 (multiplicity 3)
S 0.0000 0.0000 0.1071 (multiplicity 6)



#D
Below is crystalline HfMnS2 at its relaxed geometry, with properties calculated at the GGA-PBE level.

Computed properties:
total magnetization: 0.0 Bohr magnetons per cell
density of states at the Fermi level: 0.83 states/eV per atom

Cell: 4.873 4.873 12.334 Å, 90.00 90.00 90.00°
Space group I-42d (No. 122)
One atom of each set of equivalent atoms:
Hf 0.000 0.000 0.000 (multiplicity 4)
Mn 0.000 0.000 0.500 (multiplicity 4)
S 0.199 0.250 0.625 (multiplicity 8)



Energies, relative to the best one, in meV/atom: #A 73; #B 0; #C 391; #D 242.



#A
Below is crystalline Hf3MnS at its relaxed geometry, with properties calculated at the GGA-PBE level.

Computed properties:
total magnetization: 0.0 Bohr magnetons per cell
density of states at the Fermi level: 1.45 states/eV per atom

Cell: 4.773 4.773 4.773 Å, 90.00 90.00 90.00°
Space group Pm-3m (No. 221)
One atom of each set of equivalent atoms:
Hf 0.000 0.000 0.500 (multiplicity 3)
Mn 0.000 0.000 0.000 (multiplicity 1)
S 0.500 0.500 0.500 (multiplicity 1)



#B
Below is crystalline Hf3MnS at its relaxed geometry, with properties calculated at the GGA-PBE level.

Computed properties:
total magnetization: 3.3 Bohr magnetons per cell
density of states at the Fermi level: 0.67 states/eV per atom

Cell: 4.730 4.730 4.730 Å, 90.00 90.00 90.00°
Space group Pm-3m (No. 221)
One atom of each set of equivalent atoms:
Hf 0.000 0.000 0.500 (multiplicity 3)
Mn 0.500 0.500 0.500 (multiplicity 1)
S 0.000 0.000 0.000 (multiplicity 1)



Energies, relative to the best one, in meV/atom: #A 506; #B 0.



#A
Below is crystalline HfScMn at its relaxed geometry, with properties calculated at the GGA-PBE level.

Computed properties:
total magnetization: 0.0 Bohr magnetons per cell
density of states at the Fermi level: 0.44 states/eV per atom

Cell: 3.181 3.181 11.205 Å, 90.00 90.00 90.00°
Space group I4mm (No. 107)
One atom of each set of equivalent atoms:
Hf 0.000 0.000 0.000 (multiplicity 2)
Sc 0.000 0.000 0.734 (multiplicity 2)
Mn 0.000 0.000 0.377 (multiplicity 2)



#B
Below is crystalline HfScMn at its relaxed geometry, with properties calculated at the GGA-PBE level.

Computed properties:
total magnetization: 15.8 Bohr magnetons per cell
density of states at the Fermi level: 0.96 states/eV per atom

Cell: 5.914 9.656 7.976 Å, 90.00 90.00 90.00°
Space group Cmce (No. 64)
One atom of each set of equivalent atoms:
Hf 0.000 0.144 0.089 (multiplicity 8)
Sc 0.250 0.104 0.750 (multiplicity 8)
Mn 0.000 0.116 0.426 (multiplicity 8)



Energies, relative to the best one, in meV/atom: #A 0; #B 97.



#A
Below is crystalline Hf2ScMn at its relaxed geometry, with properties calculated at the GGA-PBE level.

Computed properties:
total magnetization: 2.7 Bohr magnetons per cell
density of states at the Fermi level: 1.32 states/eV per atom

Cell: 7.558 7.558 5.739 Å, 90.00 90.00 90.00°
Space group I-42d (No. 122)
One atom of each set of equivalent atoms:
Hf 0.188 0.250 0.125 (multiplicity 8)
Sc 0.000 0.000 0.500 (multiplicity 4)
Mn 0.000 0.000 0.000 (multiplicity 4)



#B
Below is crystalline Hf2ScMn at its relaxed geometry, with properties calculated at the GGA-PBE level.

Computed properties:
total magnetization: 0.0 Bohr magnetons per cell
density of states at the Fermi level: 1.93 states/eV per atom

Cell: 6.679 6.679 6.679 Å, 90.00 90.00 90.00°
Space group Fm-3m (No. 225)
One atom of each set of equivalent atoms:
Hf 0.250 0.250 0.250 (multiplicity 8)
Sc 0.000 0.000 0.000 (multiplicity 4)
Mn 0.000 0.000 0.500 (multiplicity 4)



Energies, relative to the best one, in meV/atom: #A 201; #B 0.



#A
Below is crystalline Hf2ScMn at its relaxed geometry, with properties calculated at the GGA-PBE level.

Computed properties:
total magnetization: 1.3 Bohr magnetons per cell
density of states at the Fermi level: 1.34 states/eV per atom

Cell: 3.195 3.195 7.699 Å, 90.00 90.00 90.00°
Space group P4/mmm (No. 123)
One atom of each set of equivalent atoms:
Hf 0.000 0.000 0.197 (multiplicity 2)
Sc 0.500 0.500 0.500 (multiplicity 1)
Mn 0.500 0.500 0.000 (multiplicity 1)



#B
Below is crystalline Hf2ScMn at its relaxed geometry, with properties calculated at the GGA-PBE level.

Computed properties:
total magnetization: 0.4 Bohr magnetons per cell
density of states at the Fermi level: 1.04 states/eV per atom

Cell: 3.1244 3.1244 29.2649 Å, 90.00 90.00 120.00°
Space group R-3m (No. 166, hexagonal axes)
One atom of each set of equivalent atoms:
Hf 0.0000 0.0000 0.1027 (multiplicity 6)
Sc 0.0000 0.0000 0.0000 (multiplicity 3)
Mn 0.0000 0.0000 0.5000 (multiplicity 3)



Energies, relative to the best one, in meV/atom: #A 0; #B 295.



#A
Below is crystalline Hf2ScMn2 at its relaxed geometry, with properties calculated at the GGA-PBE level.

Computed properties:
total magnetization: 7.1 Bohr magnetons per cell
density of states at the Fermi level: 0.80 states/eV per atom

Cell: 7.339 7.339 3.443 Å, 90.00 90.00 90.00°
Space group P4/mbm (No. 127)
One atom of each set of equivalent atoms:
Hf 0.164 0.336 0.000 (multiplicity 4)
Sc 0.000 0.000 0.500 (multiplicity 2)
Mn 0.127 0.627 0.500 (multiplicity 4)



#B
Below is crystalline Hf2ScMn2 at its relaxed geometry, with properties calculated at the GGA-PBE level.

Computed properties:
total magnetization: 7.0 Bohr magnetons per cell
density of states at the Fermi level: 0.88 states/eV per atom

Cell: 7.789 7.789 3.034 Å, 90.00 90.00 90.00°
Space group P4/mbm (No. 127)
One atom of each set of equivalent atoms:
Hf 0.145 0.355 0.000 (multiplicity 4)
Sc 0.000 0.000 0.000 (multiplicity 2)
Mn 0.146 0.646 0.500 (multiplicity 4)



Energies, relative to the best one, in meV/atom: #A 0; #B 146.



#A
Below is crystalline HfMnSe3 at its relaxed geometry, with properties calculated at the GGA-PBE level.

Computed properties:
total magnetization: 0.0 Bohr magnetons per cell
density of states at the Fermi level: 1.83 states/eV per atom

Cell: 4.659 4.659 4.659 Å, 90.00 90.00 90.00°
Space group Pm-3m (No. 221)
One atom of each set of equivalent atoms:
Hf 0.000 0.000 0.000 (multiplicity 1)
Mn 0.500 0.500 0.500 (multiplicity 1)
Se 0.000 0.500 0.500 (multiplicity 3)



#B
Below is crystalline HfMnSe3 at its relaxed geometry, with properties calculated at the GGA-PBE level.

Computed properties:
total magnetization: 0.7 Bohr magnetons per cell
density of states at the Fermi level: 3.17 states/eV per atom

Cell: 5.135 5.135 5.135 Å, 90.00 90.00 90.00°
Space group Pm-3m (No. 221)
One atom of each set of equivalent atoms:
Hf 0.000 0.000 0.000 (multiplicity 1)
Mn 0.500 0.500 0.500 (multiplicity 1)
Se 0.000 0.000 0.500 (multiplicity 3)



#C
Below is crystalline HfMnSe3 at its relaxed geometry, with properties calculated at the GGA-PBE level.

Computed properties:
total magnetization: 20.0 Bohr magnetons per cell
density of states at the Fermi level: 0.02 states/eV per atom

Cell: 3.887 22.287 6.555 Å, 90.00 90.00 90.00°
Space group Ama2 (No. 40)
One atom of each set of equivalent atoms:
Hf 0.250 0.169 0.000 (multiplicity 4)
Mn 0.250 0.359 0.910 (multiplicity 4)
Se 0.250 0.084 0.262 (multiplicity 4)
Se 0.250 0.264 0.689 (multiplicity 4)
Se 0.250 0.380 0.284 (multiplicity 4)



Energies, relative to the best one, in meV/atom: #A 1118; #B 1318; #C 0.